1.
# PBE-GGA Pm2Si4Tc, relaxed
# - energy relative to the elements, uncorrected (eV per atom) = -0.42
data_Pm2Si4Tc
_cell_length_a 6.0735
_cell_length_b 6.0735
_cell_length_c 5.7717
_cell_angle_alpha 118.38
_cell_angle_beta 118.38
_cell_angle_gamma 95.55
_space_group_name_H-M_alt 'P 1'
_space_group_IT_number 1
loop_
_space_group_symop_operation_xyz
'x,y,z'
loop_
_atom_site_label
_atom_site_fract_x
_atom_site_fract_y
_atom_site_fract_z
Pm1 0.7500 0.2500 0.5000
Si1 0.2924 0.2923 0.0000
Si2 0.7077 0.7076 0.0000
Si3 0.2924 0.2926 0.5850
Tc1 0.9999 0.0001 0.0000
Si4 0.7074 0.7076 0.4150
Pm2 0.2500 0.7500 0.5000

---

2.
# PBE-GGA PmSi4Tc4, relaxed
# - energy relative to the elements, uncorrected (eV per atom) = -0.51
data_PmSi4Tc4
_cell_length_a 4.6778
_cell_length_b 8.1046
_cell_length_c 8.1046
_cell_angle_alpha 90.00
_cell_angle_beta 90.00
_cell_angle_gamma 90.00
_space_group_name_H-M_alt 'P 1'
_space_group_IT_number 1
loop_
_space_group_symop_operation_xyz
'x,y,z'
loop_
_atom_site_label
_atom_site_fract_x
_atom_site_fract_y
_atom_site_fract_z
Tc1 0.4096 0.6225 0.1256
Tc2 0.5904 0.8744 0.6225
Tc3 0.5904 0.1256 0.3775
Tc4 0.0904 0.8775 0.3744
Si1 0.9159 0.6586 0.1931
Si2 0.4159 0.3069 0.1586
Tc5 0.9096 0.6256 0.8775
Si3 0.9159 0.3414 0.8069
Tc6 0.4096 0.3775 0.8744
Si4 0.5841 0.8414 0.3069
Tc7 0.9096 0.3744 0.1225
Si5 0.0841 0.1931 0.3414
Tc8 0.0904 0.1225 0.6256
Si6 0.5841 0.1586 0.6931
Si7 0.0841 0.8069 0.6586
Pm1 0.0000 0.0000 0.0000
Pm2 0.5000 0.5000 0.5000
Si8 0.4159 0.6931 0.8414

---

3.
# PBE-GGA PmSiTc, relaxed
# - excess energy over the best structure of this formula in the dataset (meV per atom) = 0.0
# - energy relative to the elements, uncorrected (eV per atom) = -0.56
data_PmSiTc
_cell_length_a 4.3710
_cell_length_b 4.3711
_cell_length_c 6.5776
_cell_angle_alpha 90.04
_cell_angle_beta 90.04
_cell_angle_gamma 90.00
_space_group_name_H-M_alt 'P 1'
_space_group_IT_number 1
loop_
_space_group_symop_operation_xyz
'x,y,z'
loop_
_atom_site_label
_atom_site_fract_x
_atom_site_fract_y
_atom_site_fract_z
Pm1 0.8133 0.8662 0.6037
Si1 0.8138 0.8667 0.0966
Si2 0.3134 0.3663 0.7426
Pm2 0.3139 0.3668 0.2354
Tc1 0.3136 0.8664 0.9196
Tc2 0.8135 0.3665 0.9196

---

4.
# PBE-GGA Pm3SiTc, relaxed
# - energy relative to the elements, uncorrected (eV per atom) = -0.03
data_Pm3SiTc
_cell_length_a 7.2393
_cell_length_b 7.2393
_cell_length_c 7.2393
_cell_angle_alpha 87.00
_cell_angle_beta 118.61
_cell_angle_gamma 124.99
_space_group_name_H-M_alt 'P 1'
_space_group_IT_number 1
loop_
_space_group_symop_operation_xyz
'x,y,z'
loop_
_atom_site_label
_atom_site_fract_x
_atom_site_fract_y
_atom_site_fract_z
Si1 0.5423 0.7813 0.2610
Pm1 0.0902 0.2805 0.3097
Pm2 0.5323 0.2840 0.2499
Pm3 0.0341 0.7840 0.2517
Tc1 0.0304 0.5300 0.0004
Si2 0.5202 0.2813 0.7390
Pm4 0.9708 0.7805 0.6903
Pm5 0.0341 0.2824 0.7501
Tc2 0.5297 0.0300 0.9996
Pm6 0.5323 0.7824 0.7483

---

5.
# PBE-GGA PmSi4Tc2, relaxed
# - energy relative to the elements, uncorrected (eV per atom) = -0.06
data_PmSi4Tc2
_cell_length_a 5.7908
_cell_length_b 5.7908
_cell_length_c 5.7908
_cell_angle_alpha 103.77
_cell_angle_beta 103.77
_cell_angle_gamma 121.59
_space_group_name_H-M_alt 'P 1'
_space_group_IT_number 1
loop_
_space_group_symop_operation_xyz
'x,y,z'
loop_
_atom_site_label
_atom_site_fract_x
_atom_site_fract_y
_atom_site_fract_z
Tc1 0.7500 0.2500 0.5000
Si1 0.5000 0.7376 0.2376
Si2 0.5000 0.2624 0.7624
Tc2 0.2500 0.7500 0.5000
Si3 0.2624 0.5000 0.7624
Si4 0.7376 0.5000 0.2376
Pm1 0.0000 0.0000 0.0000

---

6.
# PBE-GGA PmSi2Tc, relaxed
# - excess energy over the best structure of this formula in the dataset (meV per atom) = 249.2
# - energy relative to the elements, uncorrected (eV per atom) = -0.44
data_PmSi2Tc
_cell_length_a 3.1481
_cell_length_b 3.1481
_cell_length_c 6.9818
_cell_angle_alpha 90.00
_cell_angle_beta 90.00
_cell_angle_gamma 90.00
_space_group_name_H-M_alt 'P 1'
_space_group_IT_number 1
loop_
_space_group_symop_operation_xyz
'x,y,z'
loop_
_atom_site_label
_atom_site_fract_x
_atom_site_fract_y
_atom_site_fract_z
Si1 0.0000 0.0000 0.8123
Tc1 0.5000 0.5000 0.0000
Si2 0.0000 0.0000 0.1877
Pm1 0.5000 0.5000 0.5000

---

7.
# PBE-GGA PmSi2Tc3, relaxed
# - excess energy over the best structure of this formula in the dataset (meV per atom) = 271.7
# - energy relative to the elements, uncorrected (eV per atom) = -0.22
data_PmSi2Tc3
_cell_length_a 4.0986
_cell_length_b 7.7222
_cell_length_c 7.7216
_cell_angle_alpha 61.77
_cell_angle_beta 74.61
_cell_angle_gamma 74.61
_space_group_name_H-M_alt 'P 1'
_space_group_IT_number 1
loop_
_space_group_symop_operation_xyz
'x,y,z'
loop_
_atom_site_label
_atom_site_fract_x
_atom_site_fract_y
_atom_site_fract_z
Si1 0.5000 0.2042 0.7959
Pm1 0.1263 0.8738 0.8736
Tc1 0.6886 0.5145 0.1082
Tc2 0.0000 0.6457 0.3542
Tc3 0.6885 0.1084 0.5145
Tc4 0.3115 0.8916 0.4855
Si2 0.1884 0.3114 0.3117
Tc5 0.0000 0.3543 0.6458
Tc6 0.3114 0.4855 0.8918
Si3 0.8116 0.6886 0.6883
Si4 0.5000 0.7958 0.2041
Pm2 0.8737 0.1262 0.1264

---

8.
# PBE-GGA Pm4Si2Tc, relaxed
# - energy relative to the elements, uncorrected (eV per atom) = -0.38
data_Pm4Si2Tc
_cell_length_a 4.9830
_cell_length_b 4.9830
_cell_length_c 9.0758
_cell_angle_alpha 74.07
_cell_angle_beta 74.07
_cell_angle_gamma 60.00
_space_group_name_H-M_alt 'P 1'
_space_group_IT_number 1
loop_
_space_group_symop_operation_xyz
'x,y,z'
loop_
_atom_site_label
_atom_site_fract_x
_atom_site_fract_y
_atom_site_fract_z
Tc1 0.0000 0.0000 0.0000
Si1 0.0950 0.0950 0.7149
Pm1 0.7899 0.7899 0.6303
Pm2 0.2101 0.2101 0.3697
Pm3 0.3761 0.3761 0.8717
Si2 0.9050 0.9050 0.2851
Pm4 0.6239 0.6239 0.1283

---

9.
# PBE-GGA PmSiTc, relaxed
# - excess energy over the best structure of this formula in the dataset (meV per atom) = 192.1
# - energy relative to the elements, uncorrected (eV per atom) = -0.37
data_PmSiTc
_cell_length_a 4.0572
_cell_length_b 4.2092
_cell_length_c 4.2092
_cell_angle_alpha 120.00
_cell_angle_beta 90.00
_cell_angle_gamma 90.00
_space_group_name_H-M_alt 'P 1'
_space_group_IT_number 1
loop_
_space_group_symop_operation_xyz
'x,y,z'
loop_
_atom_site_label
_atom_site_fract_x
_atom_site_fract_y
_atom_site_fract_z
Si1 0.1667 0.0000 0.0000
Tc1 0.1667 0.6667 0.3333
Pm1 0.6667 0.3333 0.6667

---

10.
# PBE-GGA Pm2SiTc, relaxed
# - excess energy over the best structure of this formula in the dataset (meV per atom) = 66.5
# - energy relative to the elements, uncorrected (eV per atom) = -0.11
data_Pm2SiTc
_cell_length_a 3.8024
_cell_length_b 4.8466
_cell_length_c 4.8466
_cell_angle_alpha 90.00
_cell_angle_beta 90.00
_cell_angle_gamma 90.00
_space_group_name_H-M_alt 'P 1'
_space_group_IT_number 1
loop_
_space_group_symop_operation_xyz
'x,y,z'
loop_
_atom_site_label
_atom_site_fract_x
_atom_site_fract_y
_atom_site_fract_z
Si1 0.5000 0.5000 0.5000
Pm1 0.0000 0.0000 0.5000
Tc1 0.5000 0.0000 0.0000
Pm2 0.0000 0.5000 0.0000

---

11.
# PBE-GGA PmSi3Tc3, relaxed
# - excess energy over the best structure of this formula in the dataset (meV per atom) = 255.8
# - energy relative to the elements, uncorrected (eV per atom) = -0.21
data_PmSi3Tc3
_cell_length_a 6.4742
_cell_length_b 6.4742
_cell_length_c 7.9445
_cell_angle_alpha 65.95
_cell_angle_beta 65.95
_cell_angle_gamma 60.00
_space_group_name_H-M_alt 'P 1'
_space_group_IT_number 1
loop_
_space_group_symop_operation_xyz
'x,y,z'
loop_
_atom_site_label
_atom_site_fract_x
_atom_site_fract_y
_atom_site_fract_z
Si1 0.1128 0.8430 0.7270
Tc1 0.7371 0.0846 0.6347
Pm1 0.6642 0.6642 0.0074
Si2 0.6827 0.8872 0.2730
Tc2 0.5436 0.7371 0.6347
Tc3 0.2629 0.9154 0.3653
Si3 0.8430 0.3173 0.7270
Si4 0.8872 0.1570 0.2730
Tc4 0.0846 0.5436 0.6347
Tc5 0.4564 0.2629 0.3653
Pm2 0.3358 0.3358 0.9926
Si5 0.1570 0.6827 0.2730
Si6 0.3173 0.1128 0.7270
Tc6 0.9154 0.4564 0.3653

---

12.
# PBE-GGA Pm12Si6Tc, relaxed
# - energy relative to the elements, uncorrected (eV per atom) = -0.33
data_Pm12Si6Tc
_cell_length_a 8.4745
_cell_length_b 8.4745
_cell_length_c 8.4745
_cell_angle_alpha 99.49
_cell_angle_beta 99.49
_cell_angle_gamma 99.49
_space_group_name_H-M_alt 'P 1'
_space_group_IT_number 1
loop_
_space_group_symop_operation_xyz
'x,y,z'
loop_
_atom_site_label
_atom_site_fract_x
_atom_site_fract_y
_atom_site_fract_z
Pm1 0.5736 0.4324 0.8161
Si1 0.6964 0.8696 0.3759
Pm2 0.1839 0.4264 0.5676
Pm3 0.6794 0.9389 0.0400
Pm4 0.3206 0.0611 0.9600
Pm5 0.8161 0.5736 0.4324
Pm6 0.4264 0.5676 0.1839
Pm7 0.0400 0.6794 0.9389
Pm8 0.5676 0.1839 0.4264
Si2 0.3036 0.1304 0.6241
Pm9 0.9389 0.0400 0.6794
Si3 0.1304 0.6241 0.3036
Si4 0.8696 0.3759 0.6964
Pm10 0.9600 0.3206 0.0611
Pm11 0.0611 0.9600 0.3206
Tc1 0.0000 0.0000 0.0000
Pm12 0.4324 0.8161 0.5736
Si5 0.3759 0.6964 0.8696
Si6 0.6241 0.3036 0.1304

---

13.
# PBE-GGA PmSi3Tc3, relaxed
# - excess energy over the best structure of this formula in the dataset (meV per atom) = 0.0
# - energy relative to the elements, uncorrected (eV per atom) = -0.47
data_PmSi3Tc3
_cell_length_a 4.1944
_cell_length_b 9.8858
_cell_length_c 7.8583
_cell_angle_alpha 132.30
_cell_angle_beta 90.00
_cell_angle_gamma 90.00
_space_group_name_H-M_alt 'P 1'
_space_group_IT_number 1
loop_
_space_group_symop_operation_xyz
'x,y,z'
loop_
_atom_site_label
_atom_site_fract_x
_atom_site_fract_y
_atom_site_fract_z
Tc1 0.2500 0.9921 0.2626
Si1 0.2500 0.2929 0.3867
Tc2 0.7500 0.0079 0.7374
Tc3 0.7500 0.1101 0.1485
Pm1 0.7500 0.3378 0.7136
Tc4 0.2500 0.2299 0.0221
Si2 0.2500 0.6054 0.8018
Pm2 0.2500 0.6622 0.2864
Si3 0.7500 0.9289 0.3746
Si4 0.7500 0.3946 0.1982
Tc5 0.2500 0.8899 0.8515
Si5 0.7500 0.7071 0.6133
Si6 0.2500 0.0711 0.6254
Tc6 0.7500 0.7701 0.9779

---

14.
# PBE-GGA Pm2SiTc, relaxed
# - excess energy over the best structure of this formula in the dataset (meV per atom) = 103.3
# - energy relative to the elements, uncorrected (eV per atom) = -0.08
data_Pm2SiTc
_cell_length_a 5.0398
_cell_length_b 5.0398
_cell_length_c 5.0398
_cell_angle_alpha 60.00
_cell_angle_beta 60.00
_cell_angle_gamma 60.00
_space_group_name_H-M_alt 'P 1'
_space_group_IT_number 1
loop_
_space_group_symop_operation_xyz
'x,y,z'
loop_
_atom_site_label
_atom_site_fract_x
_atom_site_fract_y
_atom_site_fract_z
Pm1 0.7500 0.7500 0.7500
Pm2 0.2500 0.2500 0.2500
Tc1 0.0000 0.0000 0.0000
Si1 0.5000 0.5000 0.5000

---

15.
# PBE-GGA Pm3Si4Tc2, relaxed
# - energy relative to the elements, uncorrected (eV per atom) = -0.65
data_Pm3Si4Tc2
_cell_length_a 4.2230
_cell_length_b 5.9279
_cell_length_c 8.3050
_cell_angle_alpha 107.52
_cell_angle_beta 90.00
_cell_angle_gamma 110.87
_space_group_name_H-M_alt 'P 1'
_space_group_IT_number 1
loop_
_space_group_symop_operation_xyz
'x,y,z'
loop_
_atom_site_label
_atom_site_fract_x
_atom_site_fract_y
_atom_site_fract_z
Si1 0.2835 0.5669 0.9240
Tc1 0.6863 0.3726 0.3525
Pm1 0.6188 0.2375 0.6971
Tc2 0.3137 0.6274 0.6475
Pm2 0.0000 0.0000 0.0000
Si2 0.7165 0.4331 0.0760
Pm3 0.3812 0.7625 0.3029
Si3 0.1072 0.2143 0.4110
Si4 0.8928 0.7857 0.5890

---

16.
# PBE-GGA Pm2Si2Tc, relaxed
# - energy relative to the elements, uncorrected (eV per atom) = -0.67
data_Pm2Si2Tc
_cell_length_a 4.2431
_cell_length_b 5.9719
_cell_length_c 9.3204
_cell_angle_alpha 87.75
_cell_angle_beta 76.84
_cell_angle_gamma 69.19
_space_group_name_H-M_alt 'P 1'
_space_group_IT_number 1
loop_
_space_group_symop_operation_xyz
'x,y,z'
loop_
_atom_site_label
_atom_site_fract_x
_atom_site_fract_y
_atom_site_fract_z
Si1 0.6196 0.8839 0.8770
Si2 0.3804 0.1161 0.1230
Pm1 0.6730 0.3326 0.3215
Si3 0.0886 0.2602 0.5625
Pm2 0.9193 0.2698 0.8915
Tc1 0.3506 0.9259 0.3729
Si4 0.9114 0.7398 0.4375
Tc2 0.6494 0.0741 0.6271
Pm3 0.3270 0.6674 0.6785
Pm4 0.0807 0.7302 0.1085

---

17.
# PBE-GGA PmSi3Tc, relaxed
# - excess energy over the best structure of this formula in the dataset (meV per atom) = 0.0
# - energy relative to the elements, uncorrected (eV per atom) = -0.41
data_PmSi3Tc
_cell_length_a 5.4668
_cell_length_b 6.4353
_cell_length_c 6.4353
_cell_angle_alpha 75.58
_cell_angle_beta 64.87
_cell_angle_gamma 64.87
_space_group_name_H-M_alt 'P 1'
_space_group_IT_number 1
loop_
_space_group_symop_operation_xyz
'x,y,z'
loop_
_atom_site_label
_atom_site_fract_x
_atom_site_fract_y
_atom_site_fract_z
Si1 0.7500 0.5982 0.9018
Tc1 0.0000 0.5000 0.5000
Pm1 0.7500 0.2022 0.2978
Si2 0.7286 0.2714 0.7714
Si3 0.7714 0.7286 0.2286
Tc2 0.5000 0.0000 0.0000
Pm2 0.2500 0.7978 0.7022
Si4 0.2500 0.4018 0.0982
Si5 0.2286 0.2714 0.7714
Si6 0.2714 0.7286 0.2286

---

18.
# PBE-GGA Pm2Si3Tc, relaxed
# - energy relative to the elements, uncorrected (eV per atom) = -0.55
data_Pm2Si3Tc
_cell_length_a 5.0380
_cell_length_b 7.4317
_cell_length_c 7.4317
_cell_angle_alpha 112.39
_cell_angle_beta 90.00
_cell_angle_gamma 90.00
_space_group_name_H-M_alt 'P 1'
_space_group_IT_number 1
loop_
_space_group_symop_operation_xyz
'x,y,z'
loop_
_atom_site_label
_atom_site_fract_x
_atom_site_fract_y
_atom_site_fract_z
Pm1 0.2500 0.1786 0.4733
Pm2 0.2500 0.4733 0.1786
Tc1 0.7500 0.0954 0.0954
Si1 0.0000 0.8413 0.1587
Si2 0.5000 0.1587 0.8413
Si3 0.5000 0.8413 0.1587
Pm3 0.7500 0.5267 0.8214
Pm4 0.7500 0.8214 0.5267
Tc2 0.2500 0.9046 0.9046
Si4 0.2500 0.6182 0.6182
Si5 0.0000 0.1587 0.8413
Si6 0.7500 0.3818 0.3818

---

19.
# PBE-GGA PmSi2Tc, relaxed
# - excess energy over the best structure of this formula in the dataset (meV per atom) = 0.0
# - energy relative to the elements, uncorrected (eV per atom) = -0.69
data_PmSi2Tc
_cell_length_a 3.9796
_cell_length_b 7.2995
_cell_length_c 10.1918
_cell_angle_alpha 90.00
_cell_angle_beta 90.00
_cell_angle_gamma 90.00
_space_group_name_H-M_alt 'P 1'
_space_group_IT_number 1
loop_
_space_group_symop_operation_xyz
'x,y,z'
loop_
_atom_site_label
_atom_site_fract_x
_atom_site_fract_y
_atom_site_fract_z
Si1 0.7500 0.6591 0.6877
Pm1 0.2500 0.3561 0.6264
Si2 0.2500 0.3409 0.3123
Si3 0.2500 0.7973 0.5736
Si4 0.7500 0.2027 0.4264
Tc1 0.7500 0.4878 0.8928
Si5 0.7500 0.7027 0.0736
Si6 0.2500 0.8409 0.1877
Pm2 0.2500 0.8561 0.8736
Tc2 0.2500 0.0122 0.3928
Si7 0.2500 0.2973 0.9264
Si8 0.7500 0.1591 0.8123
Pm3 0.7500 0.6439 0.3736
Tc3 0.2500 0.5122 0.1072
Pm4 0.7500 0.1439 0.1264
Tc4 0.7500 0.9878 0.6072

---

20.
# PBE-GGA Pm3Si3Tc, relaxed
# - excess energy over the best structure of this formula in the dataset (meV per atom) = 407.3
# - energy relative to the elements, uncorrected (eV per atom) = -0.29
data_Pm3Si3Tc
_cell_length_a 5.8700
_cell_length_b 8.5523
_cell_length_c 8.5523
_cell_angle_alpha 120.00
_cell_angle_beta 90.00
_cell_angle_gamma 90.00
_space_group_name_H-M_alt 'P 1'
_space_group_IT_number 1
loop_
_space_group_symop_operation_xyz
'x,y,z'
loop_
_atom_site_label
_atom_site_fract_x
_atom_site_fract_y
_atom_site_fract_z
Tc1 0.7500 0.3333 0.6667
Si1 0.7500 0.6271 0.9143
Pm1 0.2500 0.0923 0.6957
Si2 0.2500 0.9143 0.2872
Pm2 0.7500 0.6957 0.6034
Tc2 0.2500 0.6667 0.3333
Si3 0.2500 0.7128 0.6271
Si4 0.2500 0.3729 0.0857
Pm3 0.7500 0.9077 0.3043
Si5 0.7500 0.0857 0.7128
Si6 0.7500 0.2872 0.3729
Pm4 0.2500 0.3043 0.3966
Pm5 0.7500 0.3966 0.0923
Pm6 0.2500 0.6034 0.9077